[1]
DFT (PBE-GGA) results for crystalline MgBMoPd2 at its relaxed geometry.

Output
Total magnetic moment (μB per cell): 0.0
SG: P4/mmm, No. 123
Calculated formation energy (eV per atom): 1.8810

a b c (Å): 4.743 4.743 5.191
angles (deg): 90.00 90.00 90.00
Atoms (fractional coordinates):
Mg: 0.000 0.000 0.000
B: 0.500 0.500 0.000
Mo: 0.000 0.000 0.500
Pd: 0.000 0.500 0.500
Pd: 0.500 0.000 0.500


[2]
DFT (PBE-GGA) results for crystalline Mg2B2MoRh5 at its relaxed geometry.

Output
Total magnetic moment (μB per cell): 0.0
SG: P4/mbm, No. 127
Calculated formation energy (eV per atom): -0.4465

a b c (Å): 9.659 9.659 2.884
angles (deg): 90.00 90.00 90.00
Atoms (fractional coordinates):
Mg: 0.177 0.323 0.000
Mg: 0.323 0.823 0.000
Mg: 0.677 0.177 0.000
Mg: 0.823 0.677 0.000
B: 0.121 0.621 0.000
B: 0.379 0.121 0.000
B: 0.621 0.879 0.000
B: 0.879 0.379 0.000
Mo: 0.000 0.000 0.000
Mo: 0.500 0.500 0.000
Rh: 0.000 0.500 0.500
Rh: 0.071 0.779 0.500
Rh: 0.221 0.071 0.500
Rh: 0.279 0.571 0.500
Rh: 0.429 0.279 0.500
Rh: 0.500 0.000 0.500
Rh: 0.571 0.721 0.500
Rh: 0.721 0.429 0.500
Rh: 0.779 0.929 0.500
Rh: 0.929 0.221 0.500